Entry from Alexandria via LeMat-Bulk: a geometry-optimized YIr2Os structure (PBE).

The structure in extended XYZ format:
```
4
Lattice="-2.559 -4.050 1.204 -0.021 -4.937 0.161 1.698 -0.707 4.735" Properties=species:S:1:pos:R:3 pbc="T T T"
Ir -0.353 -4.796 3.221
Ir 1.610 -0.757 4.564
Os -0.662 -7.270 4.575
Y -0.221 -2.423 1.525
```

## Properties
Energy = -35.39 eV/cell
Energy of formation = 0.02 eV/f.u.
Excess energy over the best structure of this formula in the dataset = 115 meV per atom

Entry from Alexandria via LeMat-Bulk: a geometry-optimized YIrOs3 structure (PBE).

The structure in extended XYZ format:
```
5
Lattice="4.731 0.000 0.000 0.000 4.731 0.000 0.000 0.000 4.731" Properties=species:S:1:pos:R:3 pbc="T T T"
Os 0.000 0.000 2.366
Os 2.366 0.000 0.000
Os 0.000 2.366 0.000
Ir 2.366 2.366 2.366
Y 0.000 0.000 0.000
```

## Properties
Energy = -32.39 eV/cell
Energy of formation = 16.63 eV/f.u.
Excess energy over the best structure of this formula in the dataset = 1881 meV per atom

Entry from Alexandria via LeMat-Bulk: a geometry-optimized YIr2Os structure (PBE).

The structure in extended XYZ format:
```
4
Lattice="4.951 -0.003 -0.027 1.571 4.696 0.027 -3.213 -2.413 2.893" Properties=species:S:1:pos:R:3 pbc="T T T"
Ir 3.247 2.336 0.000
Ir 0.015 0.010 0.000
Os 0.809 2.314 1.460
Y 2.500 -0.035 1.433
```

## Properties
Energy = -35.49 eV/cell
Energy of formation = -0.08 eV/f.u.
Excess energy over the best structure of this formula in the dataset = 89 meV per atom

Entry from Alexandria via LeMat-Bulk: a geometry-optimized YIrOs2 structure (PBE).

The structure in extended XYZ format:
```
8
Lattice="4.066 0.000 0.000 0.000 4.066 0.000 2.033 2.033 9.683" Properties=species:S:1:pos:R:3 pbc="T T T"
Os 0.615 3.049 2.421
Os 5.082 5.484 7.262
Os 3.451 1.016 2.421
Os 3.049 2.647 7.262
Y 2.033 2.033 0.000
Y 2.033 4.066 4.841
Ir 4.066 2.033 4.841
Ir 0.000 0.000 0.000
```

## Properties
Energy = -72.06 eV/cell
Energy of formation = 1.75 eV/f.u.
Excess energy over the best structure of this formula in the dataset = 391 meV per atom

Entry from Alexandria via LeMat-Bulk: a geometry-optimized YIrOs2 structure (PBE).

The structure in extended XYZ format:
```
4
Lattice="-2.416 1.924 -4.809 -0.742 -3.347 -4.573 -1.021 1.228 5.488" Properties=species:S:1:pos:R:3 pbc="T T T"
Y -1.579 -0.711 -4.689
Os -2.603 1.178 -2.289
Os -3.147 -1.418 -9.349
Ir -1.587 -1.377 -1.640
```

## Properties
Energy = -36.89 eV/cell
Energy of formation = 0.89 eV/f.u.
Excess energy over the best structure of this formula in the dataset = 175 meV per atom

Entry from Alexandria via LeMat-Bulk: a geometry-optimized YIr2Os structure (PBE).

The structure in extended XYZ format:
```
4
Lattice="-4.336 2.316 -0.972 -3.104 -3.066 -2.465 2.664 -0.558 4.207" Properties=species:S:1:pos:R:3 pbc="T T T"
Ir 0.000 0.000 0.000
Ir -2.080 -1.999 0.012
Y -2.696 0.692 0.759
Os -3.720 -0.375 -1.718
```

## Properties
Energy = -35.40 eV/cell
Energy of formation = 0.01 eV/f.u.
Excess energy over the best structure of this formula in the dataset = 111 meV per atom

Entry from Alexandria via LeMat-Bulk: a geometry-optimized Y2IrOs structure (PBE).

The structure in extended XYZ format:
```
4
Lattice="6.315 0.003 -0.002 3.767 5.069 0.002 -4.558 -3.497 2.623" Properties=species:S:1:pos:R:3 pbc="T T T"
Y 3.221 -0.569 1.311
Y 0.269 0.135 0.000
Ir 4.671 2.350 0.000
Os 2.405 2.195 1.313
```

## Properties
Energy = -33.96 eV/cell
Energy of formation = -0.94 eV/f.u.

Entry from Alexandria via LeMat-Bulk: a geometry-optimized YIrOs structure (PBE).

The structure in extended XYZ format:
```
6
Lattice="-1.001 3.325 -3.841 -4.922 2.180 -0.320 -0.654 5.217 1.197" Properties=species:S:1:pos:R:3 pbc="T T T"
Y -3.621 5.049 0.079
Y -2.956 5.674 -3.043
Os 0.000 0.000 0.000
Os -0.501 1.663 -1.921
Ir -0.827 4.271 -1.322
Ir -2.962 2.753 -2.081
```

## Properties
Energy = -56.32 eV/cell
Energy of formation = -1.61 eV/f.u.
Excess energy over the best structure of this formula in the dataset = 15 meV per atom

Entry from Alexandria via LeMat-Bulk: a geometry-optimized Y2IrOs structure (PBE).

The structure in extended XYZ format:
```
4
Lattice="3.165 0.000 0.000 0.000 4.615 0.000 0.000 0.000 5.752" Properties=species:S:1:pos:R:3 pbc="T T T"
Y 0.000 0.000 5.406
Y 1.582 2.307 1.771
Ir 0.000 0.000 2.593
Os 1.582 2.307 4.609
```

## Properties
Energy = -33.07 eV/cell
Energy of formation = -0.05 eV/f.u.

Entry from Alexandria via LeMat-Bulk: a geometry-optimized Y8Ir2Os structure (PBE).

The structure in extended XYZ format:
```
11
Lattice="-1.767 -5.320 1.853 3.966 -1.962 -6.129 4.450 2.020 5.767" Properties=species:S:1:pos:R:3 pbc="T T T"
Ir 3.493 -1.834 2.949
Ir 3.312 -3.323 -1.500
Y 2.594 -4.101 5.047
Y 2.318 -6.373 -1.741
Y 0.791 -2.539 2.521
Y 3.997 -4.242 1.257
Y 0.666 -3.563 -0.538
Y 2.712 -0.904 0.192
Y 6.127 -1.496 1.951
Y 6.003 -2.517 -1.101
Os 8.160 -0.674 -0.106
```

## Properties
Energy = -84.57 eV/cell
Energy of formation = -3.90 eV/f.u.